DFT (PBE) results for TmScGaGe after structural relaxation.

## Properties
Polymorph energy (0 for the lowest one): 201 meV/atom
Crystal system: cubic
Calculated formation energy: -0.5469 eV/atom

```
4
Lattice="0.000 3.455 3.455 3.455 0.000 3.455 3.455 3.455 0.000" Properties=species:S:1:pos:R:3 pbc="T T T"
Tm 0.000 0.000 0.000
Sc 3.455 3.455 3.455
Ga 5.182 5.182 5.182
Ge 1.727 1.727 1.727
```

DFT (PBE) results for Ho8Cd2Rh after structural relaxation.

## Properties
Crystal system: monoclinic
Calculated formation energy: -0.2563 eV/atom

```
11
Lattice="8.704 -2.667 0.000 8.704 2.667 0.000 -2.396 0.000 6.482" Properties=species:S:1:pos:R:3 pbc="T T T"
Ho -0.325 0.000 1.826
Ho 1.543 0.000 5.072
Ho 4.753 0.000 3.582
Ho 6.907 0.000 0.505
Ho 8.103 0.000 5.977
Ho 10.258 0.000 2.900
Ho 13.468 0.000 1.410
Ho 15.336 0.000 4.656
Cd 2.694 0.000 1.325
Cd 12.317 0.000 5.157
Rh 7.505 0.000 3.241
```

DFT (PBE) results for TlCd3Cl after structural relaxation.

## Properties
Polymorph energy (0 for the lowest one): 0 meV/atom
Crystal system: cubic
Formation energy from raw total energies: 0.044 eV per atom

```
5
Lattice="5.528 0.000 0.000 0.000 5.528 0.000 0.000 0.000 5.528" Properties=species:S:1:pos:R:3 pbc="T T T"
Tl 0.000 0.000 0.000
Cd 0.000 0.000 2.764
Cd 0.000 2.764 0.000
Cd 2.764 0.000 0.000
Cl 2.764 2.764 2.764
```

DFT (PBE) results for ScIrS2 after structural relaxation.

## Properties
Polymorph energy (0 for the lowest one): 0 meV/atom
Crystal system: tetragonal
Formation energy from raw total energies: -0.776 eV per atom

```
8
Lattice="-2.349 2.349 6.986 2.349 -2.349 6.986 2.349 2.349 -6.986" Properties=species:S:1:pos:R:3 pbc="T T T"
Sc 0.000 0.000 0.000
Sc 0.000 2.349 3.493
Ir 2.349 0.000 3.493
Ir 0.000 0.000 6.986
S 1.174 -1.007 5.240
S 1.341 1.174 1.747
S 1.174 3.356 -1.747
S 1.007 1.174 8.733
```

DFT (PBE) results for Ca2CeBr after structural relaxation.

## Properties
Crystal system: trigonal
Formation energy from raw total energies: -0.368 eV per atom

```
4
Lattice="1.833 1.058 11.443 -1.833 1.058 11.443 0.000 -2.117 11.443" Properties=species:S:1:pos:R:3 pbc="T T T"
Ca 0.000 0.000 3.452
Ca 0.000 0.000 30.877
Ce 0.000 0.000 0.000
Br 0.000 0.000 17.164
```

DFT (PBE) results for Y6NiPd3 after structural relaxation.

## Properties
Crystal system: monoclinic
Calculated formation energy: -0.5533 eV/atom

```
20
Lattice="6.785 0.000 0.000 0.000 7.485 0.000 -6.692 0.000 10.169" Properties=species:S:1:pos:R:3 pbc="T T T"
Y -2.283 1.368 4.359
Y -5.629 2.375 9.444
Y -1.097 5.014 4.362
Y -4.443 6.214 9.447
Y 1.124 0.352 2.489
Y -2.222 3.391 7.574
Y 2.315 4.094 2.595
Y -1.031 7.133 7.680
Y 4.536 1.271 0.723
Y 1.190 2.471 5.807
Y 5.722 5.110 0.725
Y 2.376 6.117 5.810
Ni 0.000 0.000 0.000
Ni -3.346 3.743 5.085
Pd -3.712 0.881 7.579
Pd -0.366 2.862 2.494
Pd 0.046 0.000 5.085
Pd 3.393 3.743 0.000
Pd 0.459 4.624 7.675
Pd 3.805 6.604 2.591
```

DFT (PBE) results for Sm2Y6HoSc3 after structural relaxation.

## Properties
Crystal system: monoclinic
Calculated formation energy: 0.0514 eV/atom

```
12
Lattice="3.045 -5.271 0.000 3.045 5.271 0.000 -2.028 0.000 11.365" Properties=species:S:1:pos:R:3 pbc="T T T"
Sm 3.045 3.513 0.000
Sm 3.045 -3.513 0.000
Y 0.002 1.755 8.408
Y 1.018 0.000 2.955
Y 0.002 -1.755 8.408
Y 4.059 1.755 2.957
Y 3.043 0.000 8.410
Y 4.059 -1.755 2.957
Ho 3.045 0.000 0.000
Sc -1.014 0.000 5.683
Sc 2.031 1.754 5.683
Sc 2.031 -1.754 5.683
```

DFT (PBE) results for Sn2BC2 after structural relaxation.

## Properties
Crystal system: tetragonal
Calculated formation energy: 1.2325 eV/atom

```
10
Lattice="6.897 0.000 0.000 0.000 6.897 0.000 0.000 0.000 3.545" Properties=species:S:1:pos:R:3 pbc="T T T"
Sn 1.454 1.994 0.000
Sn 1.994 5.443 0.000
Sn 4.903 1.454 0.000
Sn 5.443 4.903 0.000
B 0.000 0.000 0.000
B 3.449 3.449 0.000
C 0.460 2.989 1.773
C 2.989 6.438 1.773
C 3.909 0.460 1.773
C 6.438 3.909 1.773
```

DFT (PBE) results for CaMnBe2 after structural relaxation.

## Properties
Polymorph energy (0 for the lowest one): 0 meV/atom
Crystal system: trigonal
Calculated formation energy: 0.1725 eV/atom

```
4
Lattice="1.982 1.144 5.050 -1.982 1.144 5.050 0.000 -2.289 5.050" Properties=species:S:1:pos:R:3 pbc="T T T"
Ca 0.000 0.000 0.000
Mn 0.000 0.000 7.575
Be 0.000 0.000 2.827
Be 0.000 0.000 12.322
```

DFT (PBE) results for SrCa2Ta after structural relaxation.

## Properties
Polymorph energy (0 for the lowest one): 0 meV/atom
Crystal system: tetragonal
Calculated formation energy: 0.6221 eV/atom

```
4
Lattice="3.419 0.000 0.000 0.000 3.419 0.000 0.000 0.000 11.358" Properties=species:S:1:pos:R:3 pbc="T T T"
Sr 0.000 0.000 0.000
Ca 1.709 1.709 3.429
Ca 1.709 1.709 7.929
Ta 0.000 0.000 5.679
```

DFT (PBE) results for Mg2Cd9In after structural relaxation.

## Properties
Polymorph energy (0 for the lowest one): 0 meV/atom
Crystal system: tetragonal
Calculated formation energy: -0.0284 eV/atom

```
12
Lattice="4.473 0.000 0.000 0.000 4.473 0.000 0.000 0.000 13.578" Properties=species:S:1:pos:R:3 pbc="T T T"
Mg 0.000 0.000 2.221
Mg 0.000 0.000 11.357
Cd 0.000 2.236 0.000
Cd 0.000 2.236 4.438
Cd 0.000 2.236 9.140
Cd 2.236 0.000 0.000
Cd 2.236 0.000 4.438
Cd 2.236 0.000 9.140
Cd 2.236 2.236 2.239
Cd 2.236 2.236 6.789
Cd 2.236 2.236 11.339
In 0.000 0.000 6.789
```

DFT (PBE) results for NbHg3Br after structural relaxation.

## Properties
Polymorph energy (0 for the lowest one): 701 meV/atom
Crystal system: cubic
Formation energy from raw total energies: 1.273 eV per atom

```
5
Lattice="5.708 0.000 0.000 0.000 5.708 0.000 0.000 0.000 5.708" Properties=species:S:1:pos:R:3 pbc="T T T"
Nb 0.000 0.000 0.000
Hg 0.000 2.854 2.854
Hg 2.854 0.000 2.854
Hg 2.854 2.854 0.000
Br 2.854 2.854 2.854
```

DFT (PBE) results for Cr2RhW after structural relaxation.

## Properties
Polymorph energy (0 for the lowest one): 0 meV/atom
Crystal system: tetragonal
Calculated formation energy: 0.0426 eV/atom

```
4
Lattice="2.846 0.000 0.000 0.000 2.846 0.000 0.000 0.000 6.677" Properties=species:S:1:pos:R:3 pbc="T T T"
Cr 0.000 0.000 0.000
Cr 1.423 1.423 1.229
Rh 0.000 0.000 2.974
W 1.423 1.423 4.876
```

DFT (PBE) results for LaSc3Tl2 after structural relaxation.

## Properties
Crystal system: monoclinic
Calculated formation energy: -0.1757 eV/atom

```
12
Lattice="8.602 -2.417 0.000 8.602 2.417 0.000 -4.295 0.000 8.075" Properties=species:S:1:pos:R:3 pbc="T T T"
La 2.114 0.000 0.573
La 10.795 0.000 7.502
Sc -0.855 0.000 3.087
Sc 2.871 0.000 4.570
Sc 5.569 0.000 2.706
Sc 7.340 0.000 5.369
Sc 10.038 0.000 3.505
Sc 13.764 0.000 4.988
Tl 0.292 0.000 5.967
Tl 4.793 0.000 6.721
Tl 8.116 0.000 1.354
Tl 12.618 0.000 2.108
```

DFT (PBE) results for DyScCuIr after structural relaxation.

## Properties
Crystal system: cubic
Calculated formation energy: -0.6096 eV/atom

```
4
Lattice="0.000 3.350 3.350 3.350 0.000 3.350 3.350 3.350 0.000" Properties=species:S:1:pos:R:3 pbc="T T T"
Dy 0.000 0.000 0.000
Sc 3.350 3.350 3.350
Cu 1.675 1.675 1.675
Ir 5.025 5.025 5.025
```

DFT (PBE) results for CeMnAlTc after structural relaxation.

## Properties
Crystal system: cubic
Calculated formation energy: -0.1167 eV/atom

```
4
Lattice="0.000 3.224 3.224 3.224 0.000 3.224 3.224 3.224 0.000" Properties=species:S:1:pos:R:3 pbc="T T T"
Ce 0.000 0.000 0.000
Mn 4.836 4.836 4.836
Al 3.224 3.224 3.224
Tc 1.612 1.612 1.612
```

DFT (PBE) results for CdCu2Pt after structural relaxation.

## Properties
Crystal system: monoclinic
Calculated formation energy: -0.0876 eV/atom

```
4
Lattice="4.481 -1.433 0.000 4.481 1.433 0.000 -0.908 0.000 4.752" Properties=species:S:1:pos:R:3 pbc="T T T"
Cd 0.000 0.000 0.000
Cu 1.531 0.000 3.460
Cu 6.523 0.000 1.292
Pt 4.027 0.000 2.376
```

DFT (PBE) results for NaSn after structural relaxation.

## Properties
Crystal system: orthorhombic
Calculated formation energy: -0.1118 eV/atom

```
8
Lattice="0.000 5.081 8.265 2.839 0.000 8.265 2.839 5.081 0.000" Properties=species:S:1:pos:R:3 pbc="T T T"
Na 2.129 0.332 6.198
Na 3.548 2.872 10.331
Na 2.129 7.290 6.198
Na 3.548 9.830 10.331
Sn 2.129 3.811 4.766
Sn 2.129 3.811 7.631
Sn 3.548 6.351 8.899
Sn 3.548 6.351 11.763
```

DFT (PBE) results for ZnAgIr2 after structural relaxation.

## Properties
Crystal system: tetragonal
Calculated formation energy: 0.5295 eV/atom

```
8
Lattice="-1.864 1.864 9.554 1.864 -1.864 9.554 1.864 1.864 -9.554" Properties=species:S:1:pos:R:3 pbc="T T T"
Zn 0.000 0.000 0.000
Zn 0.000 1.864 4.777
Ag 1.864 0.000 4.777
Ag 0.000 0.000 9.554
Ir 2.796 0.882 -2.389
Ir 0.882 0.932 2.389
Ir -0.932 0.982 7.166
Ir 0.982 0.932 11.943
```

DFT (PBE) results for U2Si2Ir5 after structural relaxation.

## Properties
Crystal system: tetragonal
Formation energy from raw total energies: -0.704 eV per atom

```
9
Lattice="4.066 0.000 0.000 0.000 4.066 0.000 0.000 0.000 9.045" Properties=species:S:1:pos:R:3 pbc="T T T"
U 0.000 0.000 0.000
U 0.000 0.000 4.522
Si 2.033 2.033 1.173
Si 2.033 2.033 7.872
Ir 0.000 2.033 2.482
Ir 0.000 2.033 6.563
Ir 2.033 0.000 2.482
Ir 2.033 0.000 6.563
Ir 2.033 2.033 4.522
```

DFT (PBE) results for BaCuPdAu2 after structural relaxation.

## Properties
Crystal system: tetragonal
Calculated formation energy: 0.3291 eV/atom

```
5
Lattice="5.181 0.000 0.000 0.000 5.181 0.000 0.000 0.000 5.686" Properties=species:S:1:pos:R:3 pbc="T T T"
Ba 0.000 0.000 0.000
Cu 2.591 2.591 0.000
Pd 0.000 0.000 2.843
Au 0.000 2.591 2.843
Au 2.591 0.000 2.843
```

DFT (PBE) results for MoAs2P after structural relaxation.

## Properties
Crystal system: trigonal
Calculated formation energy: 0.2219 eV/atom

```
4
Lattice="1.620 0.935 7.328 -1.620 0.935 7.328 0.000 -1.870 7.328" Properties=species:S:1:pos:R:3 pbc="T T T"
Mo 0.000 0.000 0.000
As 0.000 0.000 5.508
As 0.000 0.000 16.477
P 0.000 0.000 10.992
```

DFT (PBE) results for Ta4SiW after structural relaxation.

## Properties
Crystal system: cubic
Formation energy from raw total energies: 0.550 eV per atom

```
6
Lattice="0.000 3.780 3.780 3.780 0.000 3.780 3.780 3.780 0.000" Properties=species:S:1:pos:R:3 pbc="T T T"
Ta 0.945 0.945 0.945
Ta 2.835 2.835 0.945
Ta 2.835 0.945 2.835
Ta 0.945 2.835 2.835
Si 5.670 5.670 5.670
W 3.780 3.780 3.780
```

DFT (PBE) results for BeRh2Pb after structural relaxation.

## Properties
Polymorph energy (0 for the lowest one): 86 meV/atom
Crystal system: orthorhombic
Calculated formation energy: -0.0207 eV/atom

```
4
Lattice="-1.542 1.873 5.479 1.542 -1.873 5.479 1.542 1.873 -5.479" Properties=species:S:1:pos:R:3 pbc="T T T"
Be 0.000 0.000 0.000
Rh 0.000 0.000 5.980
Rh 0.000 1.873 3.781
Pb 1.542 0.000 2.523
```